[1]
Crystalline La9Ho2Tm at its relaxed geometry. Source: the Alexandria database, functional PBE-GGA.

The density of states at the Fermi level comes out at 14.6 states/eV/f.u. As for the total magnetization: 0.000 Bohr magnetons per cell. The total energy comes out at -57.892 eV for the cell shown.

The structure belongs to space group P4/mmm (No. 123); the cell edges are 5.193, 5.193 and 15.579 Å and the angles 90.00°, 90.00° and 90.00°. The inequivalent atoms are La at (0.000, 0.000, 0.000), La at (0.000, 0.000, 0.333), La at (0.000, 0.500, 0.166), La at (0.000, 0.500, 0.500), Ho at (0.500, 0.500, 0.333) and Tm at (0.500, 0.500, 0.000).



[2]
Crystalline La12HoTm6 at its relaxed geometry. Source: the Alexandria database, functional PBE-GGA.

The density of states at the Fermi level comes out at 34.5 states/eV/f.u. As for the total magnetization: 0.000 Bohr magnetons per cell. The total energy comes out at -258.447 eV for the cell shown.

The structure belongs to space group R-3 (No. 148, hexagonal axes); the cell edges are 14.9283, 14.9283 and 10.4740 Å and the angles 90.00°, 90.00° and 120.00°. The inequivalent atoms are La at (0.0414, 0.7856, 0.0743), La at (0.0674, 0.8375, 0.4231), Ho at (0.0000, 0.0000, 0.0000) and Tm at (0.0475, 0.8491, 0.7602).



[3]
Crystalline LaHoTm6 at its relaxed geometry. Source: the Alexandria database, functional PBE-GGA.

The density of states at the Fermi level comes out at 11.4 states/eV/f.u. The value obtained for the relative energy among the computed polymorphs is 0.568 eV/atom. As for the total magnetization: 0.128 Bohr magnetons per cell.

The structure belongs to space group R-3m (No. 166, hexagonal axes); the cell edges are 8.6690, 8.6690 and 12.8350 Å and the angles 90.00°, 90.00° and 120.00°. The inequivalent atoms are La at (0.0000, 0.0000, 0.0000), Ho at (0.0000, 0.0000, 0.5000) and Tm at (0.0915, 0.5457, 0.3892).



[4]
Crystalline La6Ho3Tm at its relaxed geometry. Source: the Alexandria database, functional PBE-GGA.

The density of states at the Fermi level comes out at 14.4 states/eV/f.u. The value obtained for the relative energy among the computed polymorphs is 0.000 eV/atom. As for the total magnetization: 0.000 Bohr magnetons per cell.

The structure belongs to space group P2_1/c (No. 14); the cell edges are 5.609, 10.144 and 12.496 Å and the angles 90.00°, 90.06° and 90.00°. The inequivalent atoms are La at (0.000, 0.181, 0.172), La at (0.499, 0.053, 0.721), La at (0.500, 0.188, 0.483), Ho at (0.000, 0.000, 0.500), Ho at (0.000, 0.145, 0.904) and Tm at (0.500, 0.000, 0.000).